1.
Material: Si2PtRh
Method: DFT, PBE-GGA
State: optimized geometry

a = 8.277 Å, b = 3.354 Å, c = 4.201 Å
α = 90.00°, β = 105.47°, γ = 90.00°
Fractional coordinates of all 8 atoms:
1 Si 0.000 0.000 0.000
2 Si 0.229 0.000 0.643
3 Si 0.500 0.500 0.000
4 Si 0.729 0.500 0.643
5 Pt 0.491 0.000 0.494
6 Pt 0.991 0.500 0.494
7 Rh 0.229 0.500 0.099
8 Rh 0.729 0.000 0.099

## Properties
Excess energy over the best structure of this formula in the dataset: 107 meV per atom
Energy relative to the elements, uncorrected: -0.579 eV per atom
Symmetry: Cm, No. 8
Uncorrected energy: -6.638 eV per atom
DOS(E_F): 0.28 states/eV/atom

2.
Material: Ca2BeCo
Method: DFT, PBE-GGA
State: optimized geometry

a = 3.202 Å, b = 3.202 Å, c = 8.063 Å
α = 90.00°, β = 90.00°, γ = 90.00°
Fractional coordinates of all 4 atoms:
1 Ca 0.000 0.000 0.000
2 Ca 0.500 0.500 0.410
3 Be 0.500 0.500 0.741
4 Co 0.000 0.000 0.670

## Properties
Calculated formation energy: 18.6 kJ per mole of atoms
Symmetry: P4mm, No. 99
Uncorrected energy: -3.516 eV per atom
DOS(E_F): 0.47 states/eV/atom